Entry 1:
First-principles (PBE) data for a relaxed structure of Cd3In, as listed in Alexandria.

Its mass density is 3.89 g/cm³. As for the crystal system: cubic. The calculation puts the total energy at -1.037 eV per atom. The value obtained for the formation energy is 0.3343 eV/atom.

Cell lengths 5.7809, 5.7809, 5.7809 Å; angles 90.00, 90.00, 90.00 degrees
Element x y z (fractional)
In: 0.0000 0.0000 0.0000
Cd: 0.0000 0.0000 0.5000
Cd: 0.0000 0.5000 0.0000
Cd: 0.5000 0.0000 0.0000

***

Entry 2:
First-principles (PBE) data for a relaxed structure of CdIn3, as listed in Alexandria.

Its mass density is 7.15 g/cm³. As for the crystal system: cubic. The calculation puts the total energy at -2.203 eV per atom. The value obtained for the formation energy is 0.0798 eV/atom.

Cell lengths 5.3129, 5.3129, 5.3129 Å; angles 60.00, 60.00, 60.00 degrees
Element x y z (fractional)
In: 0.2500 0.2500 0.2500
In: 0.5000 0.5000 0.5000
In: 0.7500 0.7500 0.7500
Cd: 0.0000 0.0000 0.0000

***

Entry 3:
First-principles (PBE) data for a relaxed structure of CdIn2, as listed in Alexandria.

Its mass density is 7.31 g/cm³. As for the crystal system: monoclinic. The calculation puts the total energy at -2.104 eV per atom. The value obtained for the formation energy is 0.0268 eV/atom.

Cell lengths 6.0998, 6.0998, 8.1370 Å; angles 72.77, 72.77, 32.66 degrees
Element x y z (fractional)
In: 0.6203 0.6203 0.2677
Cd: 0.3299 0.3299 0.3367
Cd: 0.9988 0.9988 0.0204
In: 0.9409 0.9409 0.5921
In: 0.2901 0.2901 0.9355
In: 0.6533 0.6533 0.6810

***

Entry 4:
First-principles (PBE) data for a relaxed structure of Cd7In, as listed in Alexandria.

Its mass density is 8.01 g/cm³. As for the crystal system: cubic. The calculation puts the total energy at -1.114 eV per atom. The value obtained for the formation energy is 0.0288 eV/atom.

Cell lengths 6.4169, 6.4169, 6.4169 Å; angles 60.00, 60.00, 60.00 degrees
Element x y z (fractional)
Cd: 0.0000 0.0000 0.5000
Cd: 0.5000 0.0000 0.5000
Cd: 0.5000 0.0000 0.0000
In: 0.0000 0.0000 0.0000
Cd: 0.5000 0.5000 0.0000
Cd: 0.0000 0.5000 0.5000
Cd: 0.5000 0.5000 0.5000
Cd: 0.0000 0.5000 0.0000

***

Entry 5:
First-principles (PBE) data for a relaxed structure of Cd4In, as listed in Alexandria.

Its mass density is 7.31 g/cm³. Its energy above the most stable polymorph in this dataset is 46 meV per atom. As for the crystal system: tetragonal. The calculation puts the total energy at -1.204 eV per atom. The value obtained for the formation energy is 0.0761 eV/atom.

Cell lengths 7.7024, 7.7024, 7.7024 Å; angles 147.95, 147.95, 45.95 degrees
Element x y z (fractional)
Cd: 0.7500 0.2500 0.5000
In: 0.0000 0.0000 0.0000
Cd: 0.5994 0.5994 0.0000
Cd: 0.4006 0.4006 0.0000
Cd: 0.2500 0.7500 0.5000

***

Entry 6:
First-principles (PBE) data for a relaxed structure of Cd2InIr, as listed in Alexandria.

Its mass density is 10.81 g/cm³. As for the crystal system: tetragonal. The calculation puts the total energy at -3.276 eV per atom. The value obtained for the formation energy is 0.0817 eV/atom.

Cell lengths 3.0964, 3.0964, 8.5236 Å; angles 90.00, 90.00, 90.01 degrees
Element x y z (fractional)
In: 0.0000 0.0000 0.5460
Cd: 0.5000 0.5000 0.2440
Cd: 0.0000 0.0000 0.9638
Ir: 0.5000 0.5000 0.7462

***

Entry 7:
First-principles (PBE) data for a relaxed structure of Cd2InIr, as listed in Alexandria.

Its mass density is 11.56 g/cm³. As for the crystal system: cubic. The calculation puts the total energy at -3.218 eV per atom. The value obtained for the formation energy is 0.1398 eV/atom.

Cell lengths 4.7623, 4.7623, 4.7623 Å; angles 60.00, 60.00, 60.00 degrees
Element x y z (fractional)
Cd: 0.2500 0.2500 0.2500
Cd: 0.0000 0.0000 0.0000
Ir: 0.7500 0.7500 0.7500
In: 0.5000 0.5000 0.5000

***

Entry 8:
First-principles (PBE) data for a relaxed structure of CdInIr2, as listed in Alexandria.

Its mass density is 14.78 g/cm³. As for the crystal system: monoclinic. The calculation puts the total energy at -5.155 eV per atom. The value obtained for the formation energy is 0.1890 eV/atom.

Cell lengths 4.8480, 4.8480, 5.1089 Å; angles 79.69, 79.69, 35.64 degrees
Element x y z (fractional)
Ir: 0.5035 0.5035 0.4994
In: 0.2500 0.2500 0.2500
Ir: 0.9965 0.9965 0.0006
Cd: 0.7500 0.7500 0.7500

***

Entry 9:
First-principles (PBE) data for a relaxed structure of CdInIr2, as listed in Alexandria.

Its mass density is 14.70 g/cm³. As for the crystal system: tetragonal. The calculation puts the total energy at -5.091 eV per atom. The value obtained for the formation energy is 0.2528 eV/atom.

Cell lengths 5.0554, 5.0554, 5.0554 Å; angles 132.41, 132.41, 69.59 degrees
Element x y z (fractional)
Cd: 0.5000 0.5000 0.0000
Ir: 0.2500 0.7500 0.5000
Ir: 0.0000 0.0000 0.0000
In: 0.7500 0.2500 0.5000

***

Entry 10:
First-principles (PBE) data for a relaxed structure of CdInIr2, as listed in Alexandria.

Its mass density is 14.77 g/cm³. As for the crystal system: monoclinic. The calculation puts the total energy at -5.152 eV per atom. The value obtained for the formation energy is 0.1923 eV/atom.

Cell lengths 2.9701, 5.1217, 5.6526 Å; angles 53.11, 90.00, 90.00 degrees
Element x y z (fractional)
Ir: 0.5000 0.5000 0.0000
In: 0.0000 0.0000 0.5000
Ir: 0.0000 0.0000 0.0000
Cd: 0.5000 0.5000 0.5000

***

Entry 11:
First-principles (PBE) data for a relaxed structure of CdInIr2, as listed in Alexandria.

Its mass density is 14.61 g/cm³. As for the crystal system: trigonal. The calculation puts the total energy at -5.142 eV per atom. The value obtained for the formation energy is 0.2018 eV/atom.

Cell lengths 8.9742, 8.9742, 8.9742 Å; angles 19.37, 19.37, 19.37 degrees
Element x y z (fractional)
Ir: 0.4977 0.4977 0.4977
Cd: 0.2500 0.2500 0.2500
Ir: 0.0023 0.0023 0.0023
In: 0.7500 0.7500 0.7500

***

Entry 12:
First-principles (PBE) data for a relaxed structure of Cd2InIr, as listed in Alexandria.

Its mass density is 11.26 g/cm³. As for the crystal system: monoclinic. The calculation puts the total energy at -3.268 eV per atom. The value obtained for the formation energy is 0.0894 eV/atom.

Cell lengths 5.4406, 5.4406, 5.3116 Å; angles 64.61, 64.61, 33.94 degrees
Element x y z (fractional)
In: 0.4772 0.4772 0.5977
Cd: 0.0216 0.0216 0.0536
Cd: 0.2536 0.2536 0.1988
Ir: 0.7476 0.7476 0.6499

***

Number 11 is which compound? CdInIr2